DFT (PBE-GGA) results for BaTbZn after structural relaxation.

SG   C2/m (12)
ρ   5.47 Mg/m³
Energy relative to the elements   0.12 eV/f.u.
ΔE to the lowest computed polymorph   0.365 eV/f.u.
Calculated total energy   -15.42 eV/cell

abc: 4.104 4.113 15.219
angles: 98.03 90.00 119.92
Fractional coordinates of all 6 atoms:
Tb  0.196  0.392  0.087
Tb  0.804  0.608  0.913
Ba  0.293  0.585  0.366
Ba  0.707  0.415  0.634
Zn  0.095  0.190  0.793
Zn  0.905  0.810  0.207